No. 1
VASP calculation (PBE) on a relaxed Cs3RbHg crystal.

```
Cs3RbHg
1.0
4.6050 -10.3754 0.0000
4.6050 10.3754 0.0000
0.0000 0.0000 8.5082
Cs Rb Hg
6 2 2
direct
0.0000 0.0000 0.0000
0.0000 0.0000 0.5000
0.0591 0.4404 0.2500
0.4404 0.0591 0.7500
0.5596 0.9409 0.2500
0.9409 0.5596 0.7500
0.4208 0.5792 0.7500
0.5792 0.4208 0.2500
0.1579 0.8421 0.2500
0.8421 0.1579 0.7500
```

E_form: -0.055 eV/atom
space-group type: Cmcm, No. 63



No. 2
VASP calculation (PBE) on a relaxed Cs3RbHg6 crystal.

```
Cs3RbHg6
1.0
7.5939 4.3844 4.6692
-7.5939 4.3844 4.6692
0.0000 -8.7687 4.6692
Cs Rb Hg
6 2 12
direct
0.1843 0.7500 0.3157
0.2500 0.6843 0.8157
0.3157 0.1843 0.7500
0.6843 0.8157 0.2500
0.7500 0.3157 0.1843
0.8157 0.2500 0.6843
0.0000 0.0000 0.0000
0.5000 0.5000 0.5000
0.0319 0.0914 0.3910
0.0914 0.3910 0.0319
0.1090 0.4086 0.4681
0.3910 0.0319 0.0914
0.4086 0.4681 0.1090
0.4681 0.1090 0.4086
0.5319 0.8910 0.5914
0.5914 0.5319 0.8910
0.6090 0.9681 0.9086
0.8910 0.5914 0.5319
0.9086 0.6090 0.9681
0.9681 0.9086 0.6090
```

E_form: -0.221 eV/atom
space-group type: R-3c, No. 167



No. 3
VASP calculation (PBE) on a relaxed Cs3RbHg crystal.

```
Cs3RbHg
1.0
13.7341 0.0000 0.0000
-6.8670 11.8940 0.0000
0.0000 0.0000 7.7210
Cs Rb Hg
9 3 3
direct
0.1670 0.3340 0.0000
0.1670 0.8330 0.0000
0.3327 0.1663 0.3333
0.5003 0.0007 0.6667
0.5003 0.4997 0.6667
0.6660 0.8330 0.0000
0.8337 0.1663 0.3333
0.8337 0.6673 0.3333
0.9993 0.4997 0.6667
0.0000 0.0000 0.6693
0.3333 0.6667 0.3359
0.6667 0.3333 0.0026
0.0000 0.0000 0.1689
0.3333 0.6667 0.8355
0.6667 0.3333 0.5022
```

E_form: -0.046 eV/atom
space-group type: R3m, No. 160



No. 4
VASP calculation (PBE) on a relaxed CsRb2Hg4 crystal.

```
CsRb2Hg4
1.0
6.6661 0.0000 0.0000
0.0000 6.6661 0.0000
0.0000 0.0000 19.3204
Cs Rb Hg
2 4 8
direct
0.0000 0.0000 0.0000
0.5000 0.5000 0.5000
0.0000 0.0000 0.3799
0.0000 0.0000 0.6201
0.5000 0.5000 0.1201
0.5000 0.5000 0.8799
0.0000 0.0000 0.1866
0.0000 0.0000 0.8134
0.0000 0.5000 0.0000
0.0000 0.5000 0.5000
0.5000 0.0000 0.0000
0.5000 0.0000 0.5000
0.5000 0.5000 0.3134
0.5000 0.5000 0.6866
```

E_form: -0.031 eV/atom
space-group type: I4/mmm, No. 139



No. 5
VASP calculation (PBE) on a relaxed CsRb6Hg4 crystal.

```
CsRb6Hg4
1.0
6.7438 -6.7136 0.0000
6.7438 6.7136 0.0000
-6.7302 0.0000 6.9771
Cs Rb Hg
1 6 4
direct
0.0000 0.0000 0.0000
0.9996 0.5007 0.0021
0.0987 0.0987 0.5698
0.4687 0.4687 0.5711
0.5007 0.9996 0.0021
0.5290 0.8998 0.4327
0.8998 0.5290 0.4327
0.2911 0.5957 0.8893
0.4053 0.4053 0.1153
0.5957 0.2911 0.8893
0.7062 0.7062 0.1161
```

E_form: -0.160 eV/atom
space-group type: Cm, No. 8



No. 6
VASP calculation (PBE) on a relaxed CsRb3Hg4 crystal.

```
CsRb3Hg4
1.0
13.3821 0.0000 0.0000
0.0000 8.4712 0.0000
0.0000 0.0000 6.6715
Cs Rb Hg
2 6 8
direct
0.0000 0.0000 0.0000
0.5000 0.0000 0.0000
0.0000 0.5000 0.0000
0.2500 0.0000 0.4986
0.2500 0.5000 0.5093
0.5000 0.5000 0.0000
0.7500 0.0000 0.5014
0.7500 0.5000 0.4907
0.0000 0.3084 0.5000
0.0000 0.6916 0.5000
0.2500 0.3085 0.0107
0.2500 0.6915 0.0107
0.5000 0.3084 0.5000
0.5000 0.6916 0.5000
0.7500 0.3085 0.9893
0.7500 0.6915 0.9893
```

E_form: -0.190 eV/atom
space-group type: Pmma, No. 51



| no. | DOS at the Fermi energy (states/eV/cell) | size of the total moment (Bohr magnetons per cell) |
| --- | --- | --- |
| 1 | 9.051 | 0.00 |
| 2 | 10.162 | 0.00 |
| 3 | 15.326 | 0.00 |
| 4 | 12.285 | 0.00 |
| 5 | 6.661 | 0.00 |
| 6 | 11.529 | 0.00 |